1.
HfSc2Ge2: optimized geometry, GGA-PBE.

Unit cell a=6.383 b=6.383 c=6.383 alpha=139.49 beta=139.49 gamma=58.63
Element x y z (fractional)
1 Hf 0.000 0.000 0.000
2 Sc 0.381 0.381 0.000
3 Sc 0.619 0.619 0.000
4 Ge 0.250 0.750 0.500
5 Ge 0.750 0.250 0.500

VASP energy ... -6.208 eV per atom
Density ... 6.32 Mg/m³
Crystal system ... tetragonal

***

2.
UPaMo: optimized geometry, GGA-PBE.

Unit cell a=4.567 b=4.567 c=4.567 alpha=60.00 beta=60.00 gamma=60.00
Element x y z (fractional)
1 U 0.000 0.000 0.000
2 Pa 0.250 0.250 0.250
3 Mo 0.750 0.750 0.750

Density ... 13.93 Mg/m³
Distance to the lowest polymorph of the same formula ... 0.00 eV per formula unit
Formation enthalpy at 0 K ... 688 meV/atom
Crystal system ... cubic

***

3.
SrNiHgS3: optimized geometry, GGA-PBE.

Unit cell a=6.434 b=6.434 c=10.848 alpha=90.00 beta=90.00 gamma=144.12
Element x y z (fractional)
1 Sr 0.248 0.752 0.750
2 Sr 0.752 0.248 0.250
3 Ni 0.470 0.530 0.250
4 Ni 0.530 0.470 0.750
5 Hg 0.000 0.000 0.000
6 Hg 0.000 0.000 0.500
7 S 0.062 0.938 0.250
8 S 0.362 0.638 0.079
9 S 0.362 0.638 0.421
10 S 0.638 0.362 0.579
11 S 0.638 0.362 0.921
12 S 0.938 0.062 0.750

Density ... 5.59 Mg/m³
Distance to the lowest polymorph of the same formula ... 0.00 eV per formula unit
Crystal system ... orthorhombic

***

4.
CsTmBiTe3: optimized geometry, GGA-PBE.

Unit cell a=9.267 b=9.267 c=12.325 alpha=90.00 beta=90.00 gamma=153.06
Element x y z (fractional)
1 Cs 0.247 0.753 0.750
2 Cs 0.753 0.247 0.250
3 Tm 0.500 0.500 0.000
4 Tm 0.500 0.500 0.500
5 Bi 0.063 0.937 0.250
6 Bi 0.937 0.063 0.750
7 Te 0.121 0.879 0.016
8 Te 0.121 0.879 0.484
9 Te 0.435 0.565 0.250
10 Te 0.565 0.435 0.750
11 Te 0.879 0.121 0.516
12 Te 0.879 0.121 0.984

VASP energy ... -3.894 eV per atom
Density ... 6.19 Mg/m³
Crystal system ... orthorhombic

***

5.
FeNiSn: optimized geometry, GGA-PBE.

Unit cell a=6.353 b=6.353 c=3.951 alpha=90.00 beta=90.00 gamma=120.00
Element x y z (fractional)
1 Fe 0.000 0.566 0.000
2 Fe 0.434 0.434 0.000
3 Fe 0.566 0.000 0.000
4 Ni 0.000 0.241 0.500
5 Ni 0.241 0.000 0.500
6 Ni 0.759 0.759 0.500
7 Sn 0.000 0.000 0.000
8 Sn 0.333 0.667 0.500
9 Sn 0.667 0.333 0.500

VASP energy ... -5.785 eV per atom
Density ... 8.41 Mg/m³
Crystal system ... hexagonal

***

6.
ZrBIr2: optimized geometry, GGA-PBE.

Unit cell a=4.380 b=4.380 c=4.380 alpha=60.00 beta=60.00 gamma=60.00
Element x y z (fractional)
1 Zr 0.000 0.000 0.000
2 B 0.750 0.750 0.750
3 Ir 0.250 0.250 0.250
4 Ir 0.500 0.500 0.500

VASP energy ... -7.945 eV per atom
Density ... 13.60 Mg/m³
Crystal system ... cubic

***

7.
GeOs: optimized geometry, GGA-PBE.

Unit cell a=3.913 b=3.913 c=3.913 alpha=60.00 beta=60.00 gamma=60.00
Element x y z (fractional)
1 Ge 0.000 0.000 0.000
2 Os 0.750 0.750 0.750

VASP energy ... -6.933 eV per atom
Density ... 10.31 Mg/m³
Crystal system ... cubic

***

8.
Na6Ge2Au: optimized geometry, GGA-PBE.

Unit cell a=10.085 b=10.085 c=10.085 alpha=30.10 beta=30.10 gamma=30.10
Element x y z (fractional)
1 Na 0.078 0.078 0.078
2 Na 0.199 0.199 0.199
3 Na 0.309 0.309 0.309
4 Na 0.691 0.691 0.691
5 Na 0.801 0.801 0.801
6 Na 0.922 0.922 0.922
7 Ge 0.413 0.413 0.413
8 Ge 0.587 0.587 0.587
9 Au 0.500 0.500 0.500

VASP energy ... -2.443 eV per atom
Density ... 3.49 Mg/m³
Crystal system ... trigonal

***

9.
GaOsNO: optimized geometry, GGA-PBE.

Unit cell a=3.713 b=3.713 c=7.447 alpha=90.00 beta=90.00 gamma=90.00
Element x y z (fractional)
1 Ga 0.250 0.750 0.000
2 Ga 0.750 0.250 0.000
3 Os 0.250 0.250 0.382
4 Os 0.750 0.750 0.618
5 N 0.250 0.250 0.894
6 N 0.750 0.750 0.106
7 O 0.250 0.750 0.500
8 O 0.750 0.250 0.500

Density ... 9.38 Mg/m³
Distance to the lowest polymorph of the same formula ... 5.10 eV per formula unit
Crystal system ... tetragonal

***

10.
Tl2CuAgSe4: optimized geometry, GGA-PBE.

Unit cell a=7.512 b=7.512 c=7.512 alpha=132.37 beta=132.37 gamma=69.65
Element x y z (fractional)
1 Tl 0.000 0.000 0.000
2 Tl 0.750 0.250 0.500
3 Cu 0.250 0.750 0.500
4 Ag 0.500 0.500 0.000
5 Se 0.148 0.635 0.046
6 Se 0.365 0.411 0.513
7 Se 0.589 0.102 0.954
8 Se 0.898 0.852 0.487

VASP energy ... -3.374 eV per atom
Density ... 6.55 Mg/m³
Crystal system ... tetragonal

***

11.
Lu4ZnCoN2: optimized geometry, GGA-PBE.

Unit cell a=3.340 b=3.340 c=14.152 alpha=90.00 beta=90.00 gamma=120.00
Element x y z (fractional)
1 Lu 0.000 0.000 0.137
2 Lu 0.000 0.000 0.863
3 Lu 0.667 0.333 0.330
4 Lu 0.667 0.333 0.670
5 Zn 0.000 0.000 0.500
6 Co 0.667 0.333 0.000
7 N 0.333 0.667 0.244
8 N 0.333 0.667 0.756

VASP energy ... -6.242 eV per atom
Density ... 10.35 Mg/m³
Crystal system ... hexagonal

***

12.
NdAl3Cd2Ge2Pt: optimized geometry, GGA-PBE.

Unit cell a=4.202 b=6.970 c=6.970 alpha=119.89 beta=90.00 gamma=90.00
Element x y z (fractional)
1 Nd 0.000 0.000 0.000
2 Al 0.500 0.195 0.429
3 Al 0.500 0.429 0.195
4 Al 0.500 0.660 0.660
5 Cd 0.000 0.422 0.833
6 Cd 0.000 0.833 0.422
7 Ge 0.500 0.109 0.757
8 Ge 0.500 0.757 0.109
9 Pt 0.000 0.440 0.440

VASP energy ... -4.112 eV per atom
Density ... 7.42 Mg/m³
Crystal system ... orthorhombic

***

13.
Ta2HgTe: optimized geometry, GGA-PBE.

Unit cell a=4.903 b=4.903 c=4.903 alpha=60.00 beta=60.00 gamma=60.00
Element x y z (fractional)
1 Ta 0.000 0.000 0.000
2 Ta 0.250 0.250 0.250
3 Hg 0.750 0.750 0.750
4 Te 0.500 0.500 0.500

VASP energy ... -6.045 eV per atom
Density ... 13.75 Mg/m³
Crystal system ... cubic

***

14.
LiTmN: optimized geometry, GGA-PBE.

Unit cell a=12.497 b=12.497 c=12.497 alpha=14.85 beta=14.85 gamma=14.85
Element x y z (fractional)
1 Li 0.000 0.000 0.000
2 Li 0.097 0.097 0.097
3 Tm 0.586 0.586 0.586
4 Tm 0.844 0.844 0.844
5 N 0.366 0.366 0.366
6 N 0.398 0.398 0.398

VASP energy ... -4.902 eV per atom
Density ... 5.65 Mg/m³
Crystal system ... trigonal

***

15.
PmScTa: optimized geometry, GGA-PBE.

Unit cell a=4.883 b=4.883 c=4.883 alpha=60.00 beta=60.00 gamma=60.00
Element x y z (fractional)
1 Pm 0.000 0.000 0.000
2 Sc 0.250 0.250 0.250
3 Ta 0.500 0.500 0.500

Density ... 7.48 Mg/m³
Distance to the lowest polymorph of the same formula ... 0.00 eV per formula unit
Formation enthalpy at 0 K ... 1177 meV/atom
Crystal system ... cubic

***

16.
LiThOs: optimized geometry, GGA-PBE.

Unit cell a=4.344 b=4.344 c=4.344 alpha=60.00 beta=60.00 gamma=60.00
Element x y z (fractional)
1 Li 0.000 0.000 0.000
2 Th 0.250 0.250 0.250
3 Os 0.750 0.750 0.750

VASP energy ... -6.606 eV per atom
Density ... 12.30 Mg/m³
Crystal system ... cubic

***

17.
CdC4F6: optimized geometry, GGA-PBE.

Unit cell a=4.687 b=5.446 c=5.881 alpha=112.93 beta=97.52 gamma=106.13
Element x y z (fractional)
1 Cd 0.000 0.000 0.000
2 C 0.425 0.331 0.201
3 C 0.470 0.603 0.268
4 C 0.530 0.397 0.732
5 C 0.575 0.669 0.799
6 F 0.240 0.692 0.216
7 F 0.265 0.175 0.609
8 F 0.312 0.721 0.726
9 F 0.688 0.279 0.274
10 F 0.735 0.825 0.391
11 F 0.760 0.308 0.784

VASP energy ... -5.183 eV per atom
Density ... 3.56 Mg/m³
Crystal system ... triclinic

***

18.
TlPd2: optimized geometry, GGA-PBE.

Unit cell a=4.433 b=4.433 c=4.433 alpha=60.00 beta=60.00 gamma=60.00
Element x y z (fractional)
1 Tl 0.000 0.000 0.000
2 Pd 0.250 0.250 0.250
3 Pd 0.750 0.750 0.750

VASP energy ... -4.224 eV per atom
Density ... 11.25 Mg/m³
Crystal system ... cubic

***

19.
LaTaB4: optimized geometry, GGA-PBE.

Unit cell a=3.148 b=3.148 c=7.781 alpha=90.00 beta=90.00 gamma=120.00
Element x y z (fractional)
1 La 0.000 0.000 0.000
2 Ta 0.000 0.000 0.500
3 B 0.333 0.667 0.288
4 B 0.333 0.667 0.712
5 B 0.667 0.333 0.288
6 B 0.667 0.333 0.712

VASP energy ... -7.841 eV per atom
Density ... 9.03 Mg/m³
Crystal system ... hexagonal

***

20.
Pr2Nd2CBr2Cl3: optimized geometry, GGA-PBE.

Unit cell a=9.369 b=9.369 c=8.192 alpha=104.20 beta=104.20 gamma=24.19
Element x y z (fractional)
1 Pr 0.000 0.000 0.216
2 Pr 0.000 0.000 0.784
3 Nd 0.358 0.358 0.916
4 Nd 0.642 0.642 0.084
5 C 0.500 0.500 0.000
6 Br 0.171 0.171 0.829
7 Br 0.829 0.829 0.171
8 Cl 0.161 0.161 0.339
9 Cl 0.500 0.500 0.500
10 Cl 0.839 0.839 0.661

Density ... 4.94 Mg/m³
Distance to the lowest polymorph of the same formula ... 0.00 eV per formula unit
Crystal system ... monoclinic

***

21.
TbErSi2Pd: optimized geometry, GGA-PBE.

Unit cell a=5.635 b=5.635 c=10.137 alpha=115.88 beta=115.88 gamma=44.45
Element x y z (fractional)
1 Tb 0.002 0.002 0.322
2 Tb 0.998 0.998 0.678
3 Er 0.186 0.186 0.106
4 Er 0.814 0.814 0.894
5 Si 0.366 0.366 0.435
6 Si 0.481 0.481 0.112
7 Si 0.519 0.519 0.888
8 Si 0.634 0.634 0.565
9 Pd 0.275 0.275 0.643
10 Pd 0.725 0.725 0.357

VASP energy ... -5.965 eV per atom
Density ... 8.17 Mg/m³
Crystal system ... monoclinic

***

22.
TeIr15: optimized geometry, GGA-PBE.

Unit cell a=3.845 b=3.845 c=44.227 alpha=90.00 beta=90.00 gamma=90.00
Element x y z (fractional)
1 Te 0.250 0.000 0.154
2 Te 0.750 0.000 0.846
3 Ir 0.250 0.000 0.259
4 Ir 0.250 0.000 0.347
5 Ir 0.250 0.000 0.434
6 Ir 0.250 0.000 0.522
7 Ir 0.250 0.000 0.609
8 Ir 0.250 0.000 0.697
9 Ir 0.250 0.000 0.784
10 Ir 0.250 0.500 0.216
11 Ir 0.250 0.500 0.303
12 Ir 0.250 0.500 0.391
13 Ir 0.250 0.500 0.478
14 Ir 0.250 0.500 0.566
15 Ir 0.250 0.500 0.653
16 Ir 0.250 0.500 0.741
17 Ir 0.250 0.500 0.827
18 Ir 0.750 0.000 0.216
19 Ir 0.750 0.000 0.303
20 Ir 0.750 0.000 0.391
21 Ir 0.750 0.000 0.478
22 Ir 0.750 0.000 0.566
23 Ir 0.750 0.000 0.653
24 Ir 0.750 0.000 0.741
25 Ir 0.750 0.500 0.173
26 Ir 0.750 0.500 0.259
27 Ir 0.750 0.500 0.347
28 Ir 0.750 0.500 0.434
29 Ir 0.750 0.500 0.522
30 Ir 0.750 0.500 0.609
31 Ir 0.750 0.500 0.697
32 Ir 0.750 0.500 0.784

Density ... 15.29 Mg/m³
Distance to the lowest polymorph of the same formula ... 0.00 eV per formula unit
Crystal system ... orthorhombic

***

23.
YPaNb: optimized geometry, GGA-PBE.

Unit cell a=4.886 b=4.886 c=4.886 alpha=60.00 beta=60.00 gamma=60.00
Element x y z (fractional)
1 Y 0.000 0.000 0.000
2 Pa 0.500 0.500 0.500
3 Nb 0.750 0.750 0.750

Density ... 8.31 Mg/m³
Distance to the lowest polymorph of the same formula ... 0.00 eV per formula unit
Formation enthalpy at 0 K ... 704 meV/atom
Crystal system ... cubic